[1]
Density functional theory data (PBE) for a geometry-optimized K2BeCd structure.

Computed properties:
**Theoretical density**: 2.30 g/cm3
**Energy of formation**: 0.6031 eV/atom
**ΔE to the lowest computed polymorph**: 264 meV/atom
**SG**: Fm-3m, No. 225

Cell lengths 5.888, 5.888, 5.888 Å; angles 60.00, 60.00, 60.00 degrees
Fractional coordinates of all 4 atoms:
K: 0.250 0.250 0.250
K: 0.750 0.750 0.750
Be: 0.000 0.000 0.000
Cd: 0.500 0.500 0.500

***

[2]
Density functional theory data (PBE) for a geometry-optimized K2BeCd structure.

Computed properties:
**Theoretical density**: 2.70 g/cm3
**Energy of formation**: 0.5724 eV/atom
**ΔE to the lowest computed polymorph**: 234 meV/atom
**SG**: F-43m, No. 216

Cell lengths 5.582, 5.582, 5.582 Å; angles 60.00, 60.00, 60.00 degrees
Fractional coordinates of all 4 atoms:
K: 0.250 0.250 0.250
K: 0.000 0.000 0.000
Cd: 0.750 0.750 0.750
Be: 0.500 0.500 0.500

***

[3]
Density functional theory data (PBE) for a geometry-optimized KBeCd2 structure.

Computed properties:
**Theoretical density**: 4.56 g/cm3
**Energy of formation**: 0.3310 eV/atom
**SG**: Pmm2, No. 25

Cell lengths 2.956, 4.085, 8.234 Å; angles 90.00, 90.00, 90.00 degrees
Fractional coordinates of all 4 atoms:
Be: 0.500 0.500 0.862
K: 0.000 0.000 0.516
Cd: 0.500 0.500 0.194
Cd: 0.000 0.000 0.927

***

[4]
Density functional theory data (PBE) for a geometry-optimized KBe3Cd structure.

Computed properties:
**Theoretical density**: 1.56 g/cm3
**Energy of formation**: 2.1297 eV/atom
**ΔE to the lowest computed polymorph**: 1206 meV/atom
**SG**: Pm-3m, No. 221

Cell lengths 5.745, 5.745, 5.745 Å; angles 90.00, 90.00, 90.00 degrees
Fractional coordinates of all 5 atoms:
Cd: 0.500 0.500 0.500
Be: 0.000 0.500 0.000
Be: 0.500 0.000 0.000
Be: 0.000 0.000 0.500
K: 0.000 0.000 0.000

***

> theoretical density of number 1 (K2BeCd)?

2.30 g/cm3

***

> Among the records above, which one has the highest energy of formation?

KBe3Cd

***

> Which value of theoretical density does entry 3 give?

4.56 g/cm3